VASP calculation (PBE) on Li5DyMg7 after structural relaxation.

DFT formation energy, eV/f.u.: -0.35
SG: Imm2 (44)

Lattice parameters (Å, degrees): 7.7187 7.7187 7.7187 138.95 97.45 96.68
Closest atoms and distances in Å follow each position.
Fractional coordinates of all 13 atoms:
Li1 0.0000 0.0000 0.0000  4 Li 2.89, 4 Mg 3.03
Li2 0.2137 0.2148 0.4977  3 Li 2.70-2.89, 3 Mg 2.91-2.96
Li3 0.2137 0.7160 0.9988  3 Li 2.70-2.89, 3 Mg 2.91-2.96
Li4 0.7171 0.2148 0.0012  3 Li 2.70-2.89, 3 Mg 2.91-2.96
Li5 0.7171 0.7160 0.5023  3 Li 2.70-2.89, 3 Mg 2.91-2.96
Dy1 0.2182 0.7182 0.5000  10 Mg 3.42-3.60, 2 Li 3.51
Mg1 0.0075 0.2135 0.7940  5 Li 2.91-3.03, 3 Mg 3.04-3.08
Mg2 0.4195 0.2135 0.2060  5 Li 2.91-3.03, 3 Mg 3.04-3.08
Mg3 0.4278 0.4278 0.0000  4 Li 2.93, 4 Mg 3.04-3.06
Mg4 0.5656 0.7152 0.8505  4 Mg 3.05-3.32, 5 Li 3.07-3.30
Mg5 0.5674 0.0674 0.5000  5 Mg 3.06-3.35, 4 Li 3.08
Mg6 0.8647 0.7152 0.1495  4 Mg 3.05-3.32, 5 Li 3.07-3.30
Mg7 0.8669 0.3669 0.5000  6 Li 3.03-3.04, 3 Mg 3.07-3.38

VASP calculation (PBE) on Li2DyMg2 after structural relaxation.

DFT formation energy, eV/f.u.: 0.40
SG: I4/mmm (139)

Lattice parameters (Å, degrees): 4.0885 4.0885 14.5888 90.00 90.00 90.00
Closest atoms and distances in Å follow each position.
Fractional coordinates of all 10 atoms:
Li1 0.0000 0.5000 0.2500  4 Li 2.89, 4 Mg 2.94
Li2 0.0000 0.5000 0.7500  4 Li 2.89, 4 Mg 2.94
Li3 0.5000 0.0000 0.2500  4 Li 2.89, 4 Mg 2.94
Li4 0.5000 0.0000 0.7500  4 Li 2.89, 4 Mg 2.94
Dy1 0.0000 0.0000 0.0000  8 Mg 3.27
Dy2 0.5000 0.5000 0.5000  8 Mg 3.27
Mg1 0.0000 0.0000 0.3952  4 Li 2.94, 1 Mg 3.06, 4 Dy 3.27
Mg2 0.0000 0.0000 0.6048  4 Li 2.94, 1 Mg 3.06, 4 Dy 3.27
Mg3 0.5000 0.5000 0.1048  4 Li 2.94, 1 Mg 3.06, 4 Dy 3.27
Mg4 0.5000 0.5000 0.8952  4 Li 2.94, 1 Mg 3.06, 4 Dy 3.27

VASP calculation (PBE) on LiDy2Mg after structural relaxation.

DFT formation energy, eV/f.u.: 0.48
SG: Cm (8)

Lattice parameters (Å, degrees): 5.8298 3.3661 11.2668 90.00 99.86 90.00
Closest atoms and distances in Å follow each position.
Fractional coordinates of all 8 atoms:
Li1 0.0000 0.0000 0.0000  6 Dy 3.36-3.37, 6 Li 3.37
Li2 0.5000 0.5000 0.0000  6 Dy 3.36-3.37, 6 Li 3.37
Dy1 0.0839 0.5000 0.7518  6 Dy 3.37, 3 Li 3.37, 3 Mg 3.40-3.41
Dy2 0.4158 0.0000 0.2473  3 Li 3.36-3.37, 6 Dy 3.37, 3 Mg 3.41
Dy3 0.5839 0.0000 0.7518  6 Dy 3.37, 3 Li 3.37, 3 Mg 3.40-3.41
Dy4 0.9158 0.5000 0.2473  3 Li 3.36-3.37, 6 Dy 3.37, 3 Mg 3.41
Mg1 0.3333 0.5000 0.4997  6 Mg 3.37, 6 Dy 3.40-3.41
Mg2 0.8333 0.0000 0.4997  6 Mg 3.37, 6 Dy 3.40-3.41

Q: Which of these has the lowest DFT formation energy?
A: Li5DyMg7

Repeat the second record exactly.
VASP calculation (PBE) on Li2DyMg2 after structural relaxation.

DFT formation energy, eV/f.u.: 0.40
SG: I4/mmm (139)

Lattice parameters (Å, degrees): 4.0885 4.0885 14.5888 90.00 90.00 90.00
Closest atoms and distances in Å follow each position.
Fractional coordinates of all 10 atoms:
Li1 0.0000 0.5000 0.2500  4 Li 2.89, 4 Mg 2.94
Li2 0.0000 0.5000 0.7500  4 Li 2.89, 4 Mg 2.94
Li3 0.5000 0.0000 0.2500  4 Li 2.89, 4 Mg 2.94
Li4 0.5000 0.0000 0.7500  4 Li 2.89, 4 Mg 2.94
Dy1 0.0000 0.0000 0.0000  8 Mg 3.27
Dy2 0.5000 0.5000 0.5000  8 Mg 3.27
Mg1 0.0000 0.0000 0.3952  4 Li 2.94, 1 Mg 3.06, 4 Dy 3.27
Mg2 0.0000 0.0000 0.6048  4 Li 2.94, 1 Mg 3.06, 4 Dy 3.27
Mg3 0.5000 0.5000 0.1048  4 Li 2.94, 1 Mg 3.06, 4 Dy 3.27
Mg4 0.5000 0.5000 0.8952  4 Li 2.94, 1 Mg 3.06, 4 Dy 3.27